First-principles (PBE with a Hubbard U) data for V3CoO8 after structural relaxation, as listed in Alexandria via LeMat-Bulk.

Lattice parameters (Å, degrees): 9.962 14.524 8.578 90.00 90.00 90.00
Space group Iba2 (No. 45)
Inequivalent atoms, fractional coordinates:
V (0.058, 0.202, 0.000) (multiplicity 8)
V (0.160, 0.348, 0.311) (multiplicity 8)
V (0.168, 0.023, 0.504) (multiplicity 8)
Co (0.173, 0.344, 0.692) (multiplicity 8)
O (0.009, 0.387, 0.254) (multiplicity 8)
O (0.017, 0.079, 0.007) (multiplicity 8)
O (0.086, 0.268, 0.492) (multiplicity 8)
O (0.147, 0.235, 0.164) (multiplicity 8)
O (0.153, 0.227, 0.838) (multiplicity 8)
O (0.222, 0.081, 0.349) (multiplicity 8)
O (0.224, 0.419, 0.494) (multiplicity 8)
O (0.227, 0.077, 0.665) (multiplicity 8)

Values from the calculation:
volume: 1241 Å³/cell
energy above the lowest structure with this stoichiometry: 0.000 eV/atom
crystal system: orthorhombic